Density functional theory data (PBE) for crystalline Sr6Tl5Ag at its relaxed geometry.

Cell: 5.7223 8.2120 9.0787 Å, 90.00 108.28 90.00°
Last column: nearest neighbours and their distance in Å.
Fractional coordinates of all 12 atoms:
Sr: 0.0000 0.2439 0.0000  2 Ag 3.49, 6 Tl 3.55-3.60
Sr: 0.0000 0.7561 0.0000  2 Ag 3.49, 6 Tl 3.55-3.60
Sr: 0.3373 0.2490 0.6745  1 Ag 3.47, 7 Tl 3.48-3.58
Sr: 0.3373 0.7510 0.6745  1 Ag 3.47, 7 Tl 3.48-3.58
Sr: 0.6627 0.2490 0.3255  1 Ag 3.47, 7 Tl 3.48-3.58
Sr: 0.6627 0.7510 0.3255  1 Ag 3.47, 7 Tl 3.48-3.58
Tl: 0.1660 0.5000 0.3347  8 Sr 3.52-3.58
Tl: 0.1748 0.0000 0.3471  8 Sr 3.49-3.60, 2 Tl 3.88-3.90
Tl: 0.5000 0.5000 0.0000  8 Sr 3.48-3.55
Tl: 0.8252 0.0000 0.6529  8 Sr 3.49-3.60, 2 Tl 3.88-3.90
Tl: 0.8340 0.5000 0.6653  8 Sr 3.52-3.58
Ag: 0.5000 0.0000 0.0000  8 Sr 3.47-3.49

Calculated values
space group	P2/m (10)
energy of formation	-0.40	eV per atom